[1]
Material: Sm6SnSb5
Method: DFT, GGA-PBE
State: optimized geometry

a b c (Å): 7.733 7.746 7.752
angles (deg): 60.03 80.37 70.44
Positions (direct):
Sm (0.750, 0.418, 0.665)
Sm (0.250, 0.917, 0.665)
Sb (0.000, 0.666, 0.667)
Sm (0.251, 0.251, 0.000)
Sb (0.500, 0.500, 0.000)
Sm (0.750, 0.083, 0.335)
Sm (0.250, 0.582, 0.335)
Sn (0.000, 0.000, 0.000)
Sm (0.749, 0.749, 0.000)
Sb (0.000, 0.334, 0.333)
Sb (0.500, 0.833, 0.334)
Sb (0.500, 0.167, 0.666)

Fermi-level density of states: 0.43 states/eV per atom
final energy: -5.478 eV per atom
calculated volume: 31.6 Å³ per atom
energy relative to the elements, uncorrected: -1.067 eV per atom


[2]
Material: TiTeSN2
Method: DFT, GGA-PBE
State: optimized geometry

a b c (Å): 3.954 3.954 5.225
angles (deg): 90.00 90.00 90.00
Positions (direct):
N (0.000, 0.500, 0.000)
Ti (0.500, 0.500, 0.500)
Te (0.000, 0.000, 0.000)
N (0.500, 0.000, 0.000)
S (0.000, 0.000, 0.500)

Fermi-level density of states: 1.39 states/eV per atom
final energy: -5.261 eV per atom
excess energy over the best structure of this formula in the dataset: 721 meV/atom
calculated volume: 16.3 Å³ per atom
energy relative to the elements, uncorrected: 1.102 eV per atom


[3]
Material: Nb7B4C4
Method: DFT, GGA-PBE
State: optimized geometry

a b c (Å): 16.426 16.426 16.426
angles (deg): 168.96 168.67 15.84
Positions (direct):
Nb (0.352, 0.852, 0.500)
Nb (0.082, 0.582, 0.500)
Nb (0.786, 0.286, 0.500)
Nb (0.214, 0.714, 0.500)
C (0.285, 0.785, 0.500)
C (0.715, 0.215, 0.500)
B (0.472, 0.472, 0.000)
C (0.147, 0.647, 0.500)
Nb (0.000, 0.000, 0.000)
C (0.853, 0.353, 0.500)
Nb (0.648, 0.148, 0.500)
Nb (0.918, 0.418, 0.500)
B (0.557, 0.057, 0.500)
B (0.443, 0.943, 0.500)
B (0.528, 0.528, 0.000)

Fermi-level density of states: 0.27 states/eV per atom
final energy: -9.579 eV per atom
calculated volume: 11.1 Å³ per atom


[4]
Material: CaTe2Rh
Method: DFT, GGA-PBE
State: optimized geometry

a b c (Å): 6.453 6.453 8.015
angles (deg): 66.26 66.26 90.00
Positions (direct):
Te (0.375, 0.306, 0.750)
Te (0.056, 0.625, 0.250)
Ca (0.250, 0.750, 0.500)
Rh (0.750, 0.250, 0.500)
Te (0.694, 0.125, 0.250)
Ca (0.500, 0.500, 0.000)
Te (0.875, 0.944, 0.750)
Rh (0.000, 0.000, 0.000)

Fermi-level density of states: 0.51 states/eV per atom
final energy: -4.453 eV per atom
excess energy over the best structure of this formula in the dataset: 270 meV/atom
calculated volume: 34.3 Å³ per atom
energy relative to the elements, uncorrected: -0.544 eV per atom


[5]
Material: BaPCl
Method: DFT, GGA-PBE
State: optimized geometry

a b c (Å): 4.119 6.400 7.678
angles (deg): 77.45 74.46 71.24
Positions (direct):
P (0.784, 0.436, 0.788)
Ba (0.034, 0.878, 0.847)
Cl (0.636, 0.021, 0.499)
Ba (0.034, 0.378, 0.347)
Cl (0.432, 0.734, 0.194)
P (0.285, 0.319, 0.905)

Fermi-level density of states: 0.22 states/eV per atom
final energy: -4.536 eV per atom
excess energy over the best structure of this formula in the dataset: 0 meV/atom
calculated volume: 30.5 Å³ per atom
energy relative to the elements, uncorrected: -1.477 eV per atom


[6]
Material: SrDyRh
Method: DFT, GGA-PBE
State: optimized geometry

a b c (Å): 3.540 3.540 7.282
angles (deg): 104.07 104.07 90.00
Positions (direct):
Dy (0.285, 0.285, 0.569)
Sr (0.031, 0.031, 0.062)
Rh (0.684, 0.684, 0.369)

Fermi-level density of states: 0.63 states/eV per atom
final energy: -4.944 eV per atom
excess energy over the best structure of this formula in the dataset: 27 meV/atom
calculated volume: 28.6 Å³ per atom


Repeat the third record exactly.
Material: Nb7B4C4
Method: DFT, GGA-PBE
State: optimized geometry

a b c (Å): 16.426 16.426 16.426
angles (deg): 168.96 168.67 15.84
Positions (direct):
Nb (0.352, 0.852, 0.500)
Nb (0.082, 0.582, 0.500)
Nb (0.786, 0.286, 0.500)
Nb (0.214, 0.714, 0.500)
C (0.285, 0.785, 0.500)
C (0.715, 0.215, 0.500)
B (0.472, 0.472, 0.000)
C (0.147, 0.647, 0.500)
Nb (0.000, 0.000, 0.000)
C (0.853, 0.353, 0.500)
Nb (0.648, 0.148, 0.500)
Nb (0.918, 0.418, 0.500)
B (0.557, 0.057, 0.500)
B (0.443, 0.943, 0.500)
B (0.528, 0.528, 0.000)

Fermi-level density of states: 0.27 states/eV per atom
final energy: -9.579 eV per atom
calculated volume: 11.1 Å³ per atom